Na8In6Ga (PBE-GGA, optimized geometry); DFT total energy = -2.067 eV/atom; formation energy = -0.07 eV/atom
1.0
4.493 2.594 6.568
-4.493 2.594 6.568
0.000 -5.188 6.568
Na In Ga
8 6 1
direct
0.008 0.731 0.397
0.159 0.159 0.159
0.269 0.603 0.992
0.397 0.008 0.731
0.603 0.992 0.269
0.731 0.397 0.008
0.841 0.841 0.841
0.992 0.269 0.603
0.151 0.457 0.765
0.235 0.849 0.543
0.457 0.765 0.151
0.543 0.235 0.849
0.765 0.151 0.457
0.849 0.543 0.235
0.500 0.500 0.500


KBa3Mg2 (PBE-GGA, optimized geometry); DFT total energy = -1.693 eV/atom; formation energy = -0.02 eV/atom
1.0
4.377 0.000 0.000
0.000 4.377 0.000
0.000 0.000 15.785
K Ba Mg
1 3 2
direct
0.000 0.000 0.000
0.500 0.500 0.225
0.500 0.500 0.500
0.500 0.500 0.775
0.000 0.000 0.359
0.000 0.000 0.641


KCaZr3 (PBE-GGA, optimized geometry); energy above the most stable polymorph in this dataset = 0.000 eV/atom; DFT total energy = -4.083 eV/atom; formation energy = 1.67 eV/atom
1.0
5.444 0.000 0.000
0.000 5.444 0.000
0.000 0.000 5.444
K Ca Zr
1 1 3
direct
0.000 0.000 0.000
0.500 0.500 0.500
0.000 0.500 0.500
0.500 0.000 0.500
0.500 0.500 0.000


YEr2SbO8 (PBE-GGA, optimized geometry); DFT total energy = -7.435 eV/atom
1.0
3.996 0.000 0.000
0.000 7.324 0.000
-0.392 0.000 5.207
Y Er Sb O
1 2 1 8
direct
0.000 0.000 0.000
0.500 0.252 0.500
0.500 0.748 0.500
0.000 0.500 0.000
0.041 0.280 0.757
0.041 0.720 0.757
0.438 0.500 0.222
0.494 0.000 0.252
0.506 0.000 0.748
0.562 0.500 0.778
0.959 0.280 0.243
0.959 0.720 0.243


TiGaTeI2 (PBE-GGA, optimized geometry); energy above the most stable polymorph in this dataset = 0.785 eV/atom; DFT total energy = -2.906 eV/atom
1.0
5.475 0.000 0.000
0.000 5.475 0.000
0.000 0.000 5.549
Ti Ga Te I
1 1 1 2
direct
0.000 0.000 0.000
0.500 0.500 0.500
0.500 0.500 0.000
0.000 0.500 0.500
0.500 0.000 0.500


LiSmPb (PBE-GGA, optimized geometry); DFT total energy = -3.697 eV/atom; formation energy = -0.25 eV/atom
1.0
-1.805 1.805 5.935
1.805 -1.805 5.935
1.805 1.805 -5.935
Li Sm Pb
1 1 1
direct
0.000 0.000 0.000
0.307 0.307 0.000
0.617 0.617 0.000


TaBeCoNi (PBE-GGA, optimized geometry); DFT total energy = -7.336 eV/atom; formation energy = -0.22 eV/atom
1.0
0.000 2.888 2.888
2.888 0.000 2.888
2.888 2.888 0.000
Ta Be Co Ni
1 1 1 1
direct
0.000 0.000 0.000
0.500 0.500 0.500
0.750 0.750 0.750
0.250 0.250 0.250


AcPmSb4 (PBE-GGA, optimized geometry); DFT total energy = -4.575 eV/atom
1.0
0.000 4.512 4.512
4.512 0.000 4.512
4.512 4.512 0.000
Ac Pm Sb
1 1 4
direct
0.000 0.000 0.000
0.250 0.250 0.250
0.127 0.624 0.624
0.624 0.127 0.624
0.624 0.624 0.127
0.624 0.624 0.624


TaCoRh2 (PBE-GGA, optimized geometry); DFT total energy = -8.591 eV/atom; formation energy = -0.18 eV/atom
1.0
2.793 0.000 0.000
0.000 4.159 0.000
-1.374 0.000 4.999
Ta Co Rh
1 1 2
direct
0.000 0.000 0.000
0.137 0.500 0.279
0.395 0.500 0.789
0.728 0.000 0.465


Sr2LiSnRh2 (PBE-GGA, optimized geometry); DFT total energy = -4.358 eV/atom; formation energy = -0.36 eV/atom
1.0
-2.998 7.533 3.235
2.998 -7.533 3.235
2.998 7.533 -3.235
Sr Li Sn Rh
4 2 2 4
direct
0.171 0.244 0.414
0.329 0.744 0.073
0.671 0.256 0.927
0.829 0.756 0.586
0.250 0.250 0.000
0.750 0.750 0.000
0.250 0.750 0.500
0.750 0.250 0.500
0.105 0.737 0.843
0.395 0.237 0.632
0.605 0.763 0.368
0.895 0.263 0.157


AcGdNiRu (PBE-GGA, optimized geometry); DFT total energy = -8.448 eV/atom; formation energy = -0.14 eV/atom
1.0
0.000 3.556 3.556
3.556 0.000 3.556
3.556 3.556 0.000
Ac Gd Ni Ru
1 1 1 1
direct
0.000 0.000 0.000
0.500 0.500 0.500
0.750 0.750 0.750
0.250 0.250 0.250


MnGa5Co6 (PBE-GGA, optimized geometry); DFT total energy = -5.842 eV/atom; formation energy = -0.26 eV/atom
1.0
2.035 -6.111 0.000
2.035 6.111 0.000
0.000 0.000 5.749
Mn Ga Co
1 5 6
direct
0.000 0.000 0.000
0.000 0.000 0.500
0.333 0.667 0.500
0.339 0.661 0.000
0.661 0.339 0.000
0.667 0.333 0.500
0.168 0.832 0.249
0.168 0.832 0.751
0.500 0.500 0.255
0.500 0.500 0.745
0.832 0.168 0.249
0.832 0.168 0.751


Please write out number 1 again, unchanged.
Na8In6Ga (PBE-GGA, optimized geometry); DFT total energy = -2.067 eV/atom; formation energy = -0.07 eV/atom
1.0
4.493 2.594 6.568
-4.493 2.594 6.568
0.000 -5.188 6.568
Na In Ga
8 6 1
direct
0.008 0.731 0.397
0.159 0.159 0.159
0.269 0.603 0.992
0.397 0.008 0.731
0.603 0.992 0.269
0.731 0.397 0.008
0.841 0.841 0.841
0.992 0.269 0.603
0.151 0.457 0.765
0.235 0.849 0.543
0.457 0.765 0.151
0.543 0.235 0.849
0.765 0.151 0.457
0.849 0.543 0.235
0.500 0.500 0.500